1.
! PBE KZr2W, optimized geometry; values from VASP
&SYSTEM
  ibrav = 0, nat = 8, ntyp = 3
/
ATOMIC_SPECIES
Zr 91.22 Zr.upf
W 183.84 W.upf
K 39.10 K.upf
CELL_PARAMETERS angstrom
-4.7972 2.6556 5.7127
-6.2993 -1.9371 -4.3893
-5.6033 -4.9557 3.0862
ATOMIC_POSITIONS crystal
Zr 0.3750 0.1254 0.7500
Zr 0.8750 0.1246 0.7500
Zr 0.8746 0.1250 0.2500
Zr 0.8754 0.6250 0.2500
W 0.7500 0.2500 0.5000
W 0.0000 0.0000 0.0000
K 0.5000 0.5000 0.0000
K 0.2500 0.7500 0.5000
! Space group ... I4_1/amd, No. 141
! Fermi-level density of states ... 0.444 states/eV/atom
! Formation enthalpy at 0 K ... 1.56 eV per atom
! Relative energy among the computed polymorphs ... 1196 meV/atom
! Electronic total energy ... -0.4573 Ry/atom

***

2.
! PBE KZr4W, optimized geometry; values from VASP
&SYSTEM
  ibrav = 0, nat = 6, ntyp = 3
/
ATOMIC_SPECIES
Zr 91.22 Zr.upf
W 183.84 W.upf
K 39.10 K.upf
CELL_PARAMETERS angstrom
4.3942 -3.4349 1.9249
1.7345 0.3071 5.6311
-1.1423 -4.4630 3.6863
ATOMIC_POSITIONS crystal
Zr 0.3712 0.3712 0.3712
Zr 0.3712 0.8864 0.3712
Zr 0.8864 0.3712 0.3712
Zr 0.3712 0.3712 0.8864
W 0.0000 0.0000 0.0000
K 0.7500 0.7500 0.7500
! Space group ... F-43m, No. 216
! Fermi-level density of states ... 1.567 states/eV/atom
! Formation enthalpy at 0 K ... 1.13 eV per atom
! Electronic total energy ... -0.5082 Ry/atom

***

3.
! PBE KZr2W, optimized geometry; values from VASP
&SYSTEM
  ibrav = 0, nat = 4, ntyp = 3
/
ATOMIC_SPECIES
Zr 91.22 Zr.upf
W 183.84 W.upf
K 39.10 K.upf
CELL_PARAMETERS angstrom
-0.7309 1.3658 4.4642
2.7617 -0.8949 0.7259
4.5138 6.7937 -1.3394
ATOMIC_POSITIONS crystal
Zr 0.5000 0.2523 0.1629
Zr 0.0000 0.0293 0.9604
W 0.5000 0.6985 0.8558
K 0.0000 0.5198 0.5208
! Space group ... Pm, No. 6
! Fermi-level density of states ... 1.188 states/eV/atom
! Formation enthalpy at 0 K ... 0.78 eV per atom
! Relative energy among the computed polymorphs ... 411 meV/atom
! Electronic total energy ... -0.5150 Ry/atom